Computed, not measured: a relaxed SrCuRh crystal at the PBE level of DFT.

Structure (POSCAR):
```
SrCuRh
1.0
0.0000 3.3122 3.3122
3.3122 0.0000 3.3122
3.3122 3.3122 0.0000
Sr Cu Rh
1 1 1
Cartesian
0.0000 0.0000 0.0000 Sr
1.6561 1.6561 1.6561 Cu
4.9682 4.9682 4.9682 Rh
```

## Properties
Total DFT energy (no corrections), eV/atom: -3.611
Formation enthalpy at 0 K, eV per atom: 0.766
Space-group type: No. 216
Calculated volume, Å³/atom: 24.2
Total moment, μB/f.u.: 0.0
Energy above the most stable polymorph in this dataset, eV per atom: 0.969

Computed, not measured: a relaxed Pm3SnOs crystal at the PBE level of DFT.

Structure (POSCAR):
```
Pm3SnOs
1.0
5.4555 0.0000 0.0000
0.0000 5.4555 0.0000
0.0000 0.0000 5.4555
Pm Sn Os
3 1 1
Cartesian
0.0000 0.0000 2.7278 Pm
0.0000 2.7278 0.0000 Pm
2.7278 0.0000 0.0000 Pm
2.7278 2.7278 2.7278 Sn
0.0000 0.0000 0.0000 Os
```

## Properties
Total DFT energy (no corrections), eV/atom: -6.025
Formation enthalpy at 0 K, eV per atom: -0.129
Space-group type: No. 221
Calculated volume, Å³/atom: 32.5
Total moment, μB/f.u.: 0.0
Energy above the most stable polymorph in this dataset, eV per atom: 0.218

Computed, not measured: a relaxed TcSnPO2 crystal at the PBE level of DFT.

Structure (POSCAR):
```
TcSnPO2
1.0
3.8574 0.0000 0.0000
0.0000 3.8574 0.0000
0.0000 0.0000 5.2235
Tc Sn P O
1 1 1 2
Cartesian
0.0000 0.0000 0.0000 Tc
1.9287 1.9287 2.6117 Sn
0.0000 0.0000 2.6117 P
0.0000 1.9287 0.0000 O
1.9287 0.0000 0.0000 O
```

## Properties
Uncorrected formation energy, kJ/mol of formula units: -313.9
Total DFT energy (no corrections), eV/atom: -6.590
Space-group type: No. 123
Calculated volume, Å³/atom: 15.5
Total moment, μB/f.u.: 0.0
Energy above the most stable polymorph in this dataset, eV per atom: 0.000

The evaluated density of states at the Fermi level for the records listed, in turn: 1.009; 2.775; 2.159 states/eV per cell.